Entry from Alexandria: a geometry-optimized La8Os3PtI4 structure (PBE).

The structure in CIF format:
```
data_La8Os3PtI4
_chemical_formula_sum 'La24 Os9 Pt3 I12'
_cell_length_a 8.5270
_cell_length_b 8.5270
_cell_length_c 24.6635
_cell_angle_alpha 90.00
_cell_angle_beta 90.00
_cell_angle_gamma 120.00
_space_group_name_H-M_alt 'R -3 m'
_space_group_IT_number 166
_space_group_name_Hall '-R 3 2"'
loop_
_atom_site_label
_atom_site_type_symbol
_atom_site_fract_x
_atom_site_fract_y
_atom_site_fract_z
_atom_site_occupancy
La1 La 0.0000 0.0000 0.2290 1
La2 La 0.0123 0.5062 0.7719 1
Os1 Os 0.0000 0.5000 0.5000 1
Pt1 Pt 0.0000 0.0000 0.5000 1
I1 I 0.0000 0.0000 0.0000 1
I2 I 0.0000 0.5000 0.0000 1
```

Output
- M_tot (μB/f.u.) = 0.00
- crystal system = trigonal
- D(E_F) (states/eV/atom) = 0.515
- ΔE_f (raw) (meV per atom) = -849
- E_tot (eV per cell) = -296.8

***

Entry from Alexandria: a geometry-optimized La8OsPt3I4 structure (PBE).

The structure in CIF format:
```
data_La8OsPt3I4
_chemical_formula_sum 'La24 Os3 Pt9 I12'
_cell_length_a 8.6123
_cell_length_b 8.6123
_cell_length_c 24.6880
_cell_angle_alpha 90.00
_cell_angle_beta 90.00
_cell_angle_gamma 120.00
_space_group_name_H-M_alt 'R -3 m'
_space_group_IT_number 166
_space_group_name_Hall '-R 3 2"'
loop_
_atom_site_label
_atom_site_type_symbol
_atom_site_fract_x
_atom_site_fract_y
_atom_site_fract_z
_atom_site_occupancy
La1 La 0.0000 0.0000 0.2290 1
La2 La 0.0110 0.5055 0.2292 1
Os1 Os 0.0000 0.0000 0.5000 1
Pt1 Pt 0.0000 0.5000 0.5000 1
I1 I 0.0000 0.0000 0.0000 1
I2 I 0.0000 0.5000 0.0000 1
```

Output
- M_tot (μB/f.u.) = 0.00
- crystal system = trigonal
- D(E_F) (states/eV/atom) = 0.617
- ΔE_f (raw) (meV per atom) = -1121
- E_tot (eV per cell) = -278.7

***

Entry from Alexandria: a geometry-optimized Rb2LaOsI6 structure (PBE).

The structure in CIF format:
```
data_Rb2LaOsI6
_chemical_formula_sum 'Rb4 La2 Os2 I12'
_cell_length_a 8.363
_cell_length_b 8.363
_cell_length_c 11.849
_cell_angle_alpha 90.00
_cell_angle_beta 90.00
_cell_angle_gamma 90.00
_space_group_name_H-M_alt 'I 4/m m m'
_space_group_IT_number 139
_space_group_name_Hall '-I 4 2'
loop_
_atom_site_label
_atom_site_type_symbol
_atom_site_fract_x
_atom_site_fract_y
_atom_site_fract_z
_atom_site_occupancy
Rb1 Rb 0.000 0.500 0.250 1
La1 La 0.000 0.000 0.000 1
Os1 Os 0.000 0.000 0.500 1
I1 I 0.000 0.000 0.266 1
I2 I 0.234 0.234 0.500 1
```

Output
- M_tot (μB/f.u.) = 1.00
- crystal system = tetragonal
- D(E_F) (states/eV/atom) = 0.411
- ΔE_f (raw) (meV per atom) = -757
- E_tot (eV per cell) = -69.9

***

Entry from Alexandria: a geometry-optimized La8OsRh3I4 structure (PBE).

The structure in CIF format:
```
data_La8OsRh3I4
_chemical_formula_sum 'La16 Os2 Rh6 I8'
_cell_length_a 14.677
_cell_length_b 8.462
_cell_length_c 9.624
_cell_angle_alpha 90.00
_cell_angle_beta 120.63
_cell_angle_gamma 90.00
_space_group_name_H-M_alt 'C 1 2/m 1'
_space_group_IT_number 12
loop_
_space_group_symop_operation_xyz
'x,y,z'
'-x,-y,-z'
'-x,y,-z'
'x,-y,z'
'x+1/2,y+1/2,z'
'-x+1/2,-y+1/2,-z'
'-x+1/2,y+1/2,-z'
'x+1/2,-y+1/2,z'
loop_
_atom_site_label
_atom_site_type_symbol
_atom_site_fract_x
_atom_site_fract_y
_atom_site_fract_z
_atom_site_occupancy
La1 La 0.020 0.245 0.314 1
La2 La 0.226 0.000 0.686 1
La3 La 0.228 0.500 0.684 1
Os1 Os 0.000 0.000 0.500 1
Rh1 Rh 0.000 0.500 0.500 1
Rh2 Rh 0.250 0.250 0.500 1
I1 I 0.000 0.000 0.000 1
I2 I 0.000 0.500 0.000 1
I3 I 0.250 0.250 0.000 1
```

Output
- M_tot (μB/f.u.) = 0.00
- crystal system = monoclinic
- D(E_F) (states/eV/atom) = 0.485
- ΔE_f (raw) (meV per atom) = -977
- E_tot (eV per cell) = -189.1

***

Entry from Alexandria: a geometry-optimized La8OsRh3I3 structure (PBE).

The structure in CIF format:
```
data_La8OsRh3I3
_chemical_formula_sum 'La16 Os2 Rh6 I6'
_cell_length_a 14.652
_cell_length_b 8.447
_cell_length_c 9.649
_cell_angle_alpha 90.00
_cell_angle_beta 120.45
_cell_angle_gamma 90.00
_space_group_name_H-M_alt 'C 1 2/m 1'
_space_group_IT_number 12
loop_
_space_group_symop_operation_xyz
'x,y,z'
'-x,-y,-z'
'-x,y,-z'
'x,-y,z'
'x+1/2,y+1/2,z'
'-x+1/2,-y+1/2,-z'
'-x+1/2,y+1/2,-z'
'x+1/2,-y+1/2,z'
loop_
_atom_site_label
_atom_site_type_symbol
_atom_site_fract_x
_atom_site_fract_y
_atom_site_fract_z
_atom_site_occupancy
La1 La 0.020 0.245 0.316 1
La2 La 0.225 0.000 0.684 1
La3 La 0.228 0.500 0.683 1
Os1 Os 0.000 0.000 0.500 1
Rh1 Rh 0.000 0.500 0.500 1
Rh2 Rh 0.250 0.250 0.500 1
I1 I 0.000 0.000 0.000 1
I2 I 0.250 0.250 0.000 1
```

Output
- M_tot (μB/f.u.) = 0.32
- crystal system = monoclinic
- D(E_F) (states/eV/atom) = 0.526
- ΔE_f (raw) (meV per atom) = -850
- E_tot (eV per cell) = -180.2

***

Entry from Alexandria: a geometry-optimized La6OsRh2I3 structure (PBE).

The structure in CIF format:
```
data_La6OsRh2I3
_chemical_formula_sum 'La12 Os2 Rh4 I6'
_cell_length_a 7.337
_cell_length_b 12.707
_cell_length_c 8.630
_cell_angle_alpha 90.00
_cell_angle_beta 106.46
_cell_angle_gamma 90.00
_space_group_name_H-M_alt 'C 1 2/m 1'
_space_group_IT_number 12
loop_
_space_group_symop_operation_xyz
'x,y,z'
'-x,-y,-z'
'-x,y,-z'
'x,-y,z'
'x+1/2,y+1/2,z'
'-x+1/2,-y+1/2,-z'
'-x+1/2,y+1/2,-z'
'x+1/2,-y+1/2,z'
loop_
_atom_site_label
_atom_site_type_symbol
_atom_site_fract_x
_atom_site_fract_y
_atom_site_fract_z
_atom_site_occupancy
La1 La 0.226 0.164 0.186 1
La2 La 0.234 0.500 0.186 1
Os1 Os 0.000 0.000 0.000 1
Rh1 Rh 0.000 0.333 0.000 1
I1 I 0.000 0.166 0.500 1
I2 I 0.000 0.500 0.500 1
```

Output
- M_tot (μB/f.u.) = 0.00
- crystal system = monoclinic
- D(E_F) (states/eV/atom) = 0.401
- ΔE_f (raw) (meV per atom) = -951
- E_tot (eV per cell) = -143.1